The following is a GGA-PBE calculation of crystalline CuAs2AuBr at its relaxed geometry, from Alexandria via LeMat-Bulk.

a = 4.7472 Å, b = 4.7472 Å, c = 4.9489 Å
α = 90.00°, β = 90.00°, γ = 90.00°
With the nearest neighbours (Å) after each atom.
Positions (direct):
Cu: 0.0000 0.0000 0.0000  4 As 2.37, 2 Br 2.47
As: 0.0000 0.5000 0.0000  2 Cu 2.37
As: 0.5000 0.0000 0.0000  2 Cu 2.37
Au: 0.5000 0.5000 0.5000  4 Br 3.36, 8 As 3.43
Br: 0.0000 0.0000 0.5000  2 Cu 2.47

Summary:
- Fermi-level density of states: 0.880 states/eV/atom
- Offset from the most stable computed form: 0.000 eV per atom
- Uncorrected formation energy: 0.69 eV/atom

***

The following is a GGA-PBE calculation of crystalline CuAs2AuBr at its relaxed geometry, from Alexandria via LeMat-Bulk.

a = 5.0276 Å, b = 5.0276 Å, c = 4.9688 Å
α = 90.00°, β = 90.00°, γ = 90.00°
With the nearest neighbours (Å) after each atom.
Positions (direct):
Cu: 0.0000 0.0000 0.0000  2 Au 2.48
As: 0.0000 0.5000 0.5000  2 Au 2.51
As: 0.5000 0.0000 0.5000  2 Au 2.51
Au: 0.0000 0.0000 0.5000  2 Cu 2.48, 4 As 2.51
Br: 0.5000 0.5000 0.0000  8 As 3.53, 4 Cu 3.56

Summary:
- Fermi-level density of states: 1.071 states/eV/atom
- Offset from the most stable computed form: 0.037 eV per atom
- Uncorrected formation energy: 0.73 eV/atom

***

The following is a GGA-PBE calculation of crystalline AsAuBr2F at its relaxed geometry, from Alexandria via LeMat-Bulk.

a = 5.2521 Å, b = 5.2521 Å, c = 4.9812 Å
α = 90.00°, β = 90.00°, γ = 90.00°
With the nearest neighbours (Å) after each atom.
Positions (direct):
As: 0.0000 0.0000 0.0000  2 Au 2.49
Au: 0.0000 0.0000 0.5000  2 As 2.49, 4 Br 2.63
Br: 0.0000 0.5000 0.5000  2 Au 2.63
Br: 0.5000 0.0000 0.5000  2 Au 2.63
F: 0.5000 0.5000 0.0000  8 Br 3.62, 4 As 3.71

Summary:
- Fermi-level density of states: 1.021 states/eV/atom
- Offset from the most stable computed form: 0.143 eV per atom
- Uncorrected formation energy: 0.32 eV/atom

***

The following is a GGA-PBE calculation of crystalline AsAuBr2F at its relaxed geometry, from Alexandria via LeMat-Bulk.

a = 5.6214 Å, b = 5.6214 Å, c = 3.8303 Å
α = 90.00°, β = 90.00°, γ = 90.00°
With the nearest neighbours (Å) after each atom.
Positions (direct):
As: 0.0000 0.0000 0.0000  2 F 1.92
Au: 0.5000 0.5000 0.0000  8 Br 3.40
Br: 0.0000 0.5000 0.5000  2 F 2.81
Br: 0.5000 0.0000 0.5000  2 F 2.81
F: 0.0000 0.0000 0.5000  2 As 1.92

Summary:
- Fermi-level density of states: 0.293 states/eV/atom
- Offset from the most stable computed form: 0.000 eV per atom
- Uncorrected formation energy: 0.18 eV/atom

***

The following is a GGA-PBE calculation of crystalline GaAsAu2Br at its relaxed geometry, from Alexandria via LeMat-Bulk.

a = 4.9103 Å, b = 4.9103 Å, c = 5.5494 Å
α = 90.00°, β = 90.00°, γ = 90.00°
With the nearest neighbours (Å) after each atom.
Positions (direct):
Ga: 0.0000 0.0000 0.0000  4 Au 2.46
As: 0.5000 0.5000 0.5000  4 Br 3.47, 8 Au 3.70
Au: 0.0000 0.5000 0.0000  2 Ga 2.46
Au: 0.5000 0.0000 0.0000  2 Ga 2.46
Br: 0.0000 0.0000 0.5000  2 Ga 2.77

Summary:
- Fermi-level density of states: 0.847 states/eV/atom
- Uncorrected formation energy: 0.60 eV/atom

***

The following is a GGA-PBE calculation of crystalline GaAs2AuBr at its relaxed geometry, from Alexandria via LeMat-Bulk.

a = 4.9881 Å, b = 4.9881 Å, c = 5.0415 Å
α = 90.00°, β = 90.00°, γ = 90.00°
With the nearest neighbours (Å) after each atom.
Positions (direct):
Ga: 0.0000 0.0000 0.0000  4 As 2.49, 2 Br 2.52
As: 0.0000 0.5000 0.0000  2 Ga 2.49
As: 0.5000 0.0000 0.0000  2 Ga 2.49
Au: 0.5000 0.5000 0.5000  4 Br 3.53, 8 As 3.55
Br: 0.0000 0.0000 0.5000  2 Ga 2.52

Summary:
- Fermi-level density of states: 0.942 states/eV/atom
- Uncorrected formation energy: 0.70 eV/atom

***

The following is a GGA-PBE calculation of crystalline GeAsAuBr2 at its relaxed geometry, from Alexandria via LeMat-Bulk.

a = 5.1971 Å, b = 5.1971 Å, c = 5.2121 Å
α = 90.00°, β = 90.00°, γ = 90.00°
With the nearest neighbours (Å) after each atom.
Positions (direct):
Ge: 0.0000 0.0000 0.0000  4 As 3.67, 8 Br 3.68
As: 0.5000 0.5000 0.0000  2 Au 2.61
Au: 0.5000 0.5000 0.5000  4 Br 2.60, 2 As 2.61
Br: 0.0000 0.5000 0.5000  2 Au 2.60
Br: 0.5000 0.0000 0.5000  2 Au 2.60

Summary:
- Fermi-level density of states: 0.865 states/eV/atom
- Offset from the most stable computed form: 0.049 eV per atom
- Uncorrected formation energy: 0.56 eV/atom

***

The following is a GGA-PBE calculation of crystalline GeAsAuBr2 at its relaxed geometry, from Alexandria via LeMat-Bulk.

a = 5.1280 Å, b = 5.1280 Å, c = 5.3478 Å
α = 90.00°, β = 90.00°, γ = 90.00°
With the nearest neighbours (Å) after each atom.
Positions (direct):
Ge: 0.0000 0.0000 0.0000  4 Br 2.56, 2 As 2.67
As: 0.0000 0.0000 0.5000  2 Ge 2.67
Au: 0.5000 0.5000 0.5000  4 As 3.63, 8 Br 3.70
Br: 0.0000 0.5000 0.0000  2 Ge 2.56
Br: 0.5000 0.0000 0.0000  2 Ge 2.56

Summary:
- Fermi-level density of states: 0.562 states/eV/atom
- Offset from the most stable computed form: 0.000 eV per atom
- Uncorrected formation energy: 0.51 eV/atom

***

In order of appearance, final energy = -2.980; -2.942; -2.304; -2.447; -2.578; -2.759; -2.623; -2.671 eV per atom.